The following is a GGA-PBE calculation of a relaxed structure of Tb2Sn2Rh, from Alexandria.

## Properties
The magnetization is 0.000 μB/atom. For the formation energy, the calculation gives -0.6350 eV per atom.

abc: 6.6676 12.8452 6.2298
angles: 90.00 90.00 90.00
Closest atoms and distances in Å follow each position.
Space group Ibam (No. 72)
Asymmetric unit:
Tb: 0.2056 0.1215 0.0000 x8  2 Rh 2.95, 5 Sn 3.15-3.27
Sn: 0.2225 0.3693 0.0000 x8  2 Rh 2.73
Rh: 0.0000 0.5000 0.2500 x4  4 Sn 2.73, 4 Tb 2.95